Computed, not measured: a relaxed As3Pb crystal at the PBE level of DFT.

Properties
**Energy of formation from the pure elements**: 297 meV/atom
**Magnetization**: 0.0 μB per formula unit
**Density**: 7.90 Mg/m³
**Crystal system**: tetragonal
**Relative energy among the computed polymorphs**: 99 kJ/mol of formula units
**Uncorrected energy**: -16.471 eV/cell
**Density of states at the Fermi level**: 1.97 states/eV per cell
**Space group**: P4/mmm (123)

Cell: 3.716 3.716 6.578 Å, 90.00 90.00 90.00°
Fractional positions:
As 0.000 0.000 0.000
As 0.500 0.500 0.201
As 0.500 0.500 0.799
Pb 0.000 0.000 0.500


Computed, not measured: a relaxed AsPb crystal at the PBE level of DFT.

Properties
**Energy of formation from the pure elements**: 67 meV/atom
**Magnetization**: 0.0 μB per formula unit
**Density**: 8.54 Mg/m³
**Crystal system**: monoclinic
**Uncorrected energy**: -24.673 eV/cell
**Density of states at the Fermi level**: 2.22 states/eV per cell
**Space group**: Cm (8)

Cell: 5.996 5.996 9.477 Å, 124.30 124.30 36.89°
Fractional positions:
As 0.000 0.000 0.000
As 0.020 0.020 0.611
As 0.397 0.397 0.385
Pb 0.331 0.331 0.704
Pb 0.611 0.611 0.289
Pb 0.725 0.725 0.002


Computed, not measured: a relaxed As3Pb5 crystal at the PBE level of DFT.

Properties
**Energy of formation from the pure elements**: 87 meV/atom
**Magnetization**: 0.0 μB per formula unit
**Density**: 9.39 Mg/m³
**Crystal system**: orthorhombic
**Relative energy among the computed polymorphs**: 54 kJ/mol of formula units
**Uncorrected energy**: -31.793 eV/cell
**Density of states at the Fermi level**: 3.00 states/eV per cell
**Space group**: Cmmm (65)

Cell: 6.774 6.774 5.173 Å, 90.00 90.00 110.09°
Fractional positions:
As 0.000 0.000 0.000
As 0.310 0.690 0.500
As 0.690 0.310 0.500
Pb 0.000 0.500 0.000
Pb 0.219 0.219 0.500
Pb 0.500 0.000 0.000
Pb 0.500 0.500 0.000
Pb 0.781 0.781 0.500


Computed, not measured: a relaxed AsPb crystal at the PBE level of DFT.

Properties
**Energy of formation from the pure elements**: 118 meV/atom
**Magnetization**: 0.0 μB per formula unit
**Density**: 8.66 Mg/m³
**Crystal system**: orthorhombic
**Uncorrected energy**: -16.244 eV/cell
**Density of states at the Fermi level**: 1.85 states/eV per cell
**Space group**: Cmcm (63)

Cell: 5.982 5.982 4.720 Å, 90.00 90.00 140.19°
Fractional positions:
As 0.064 0.936 0.750
As 0.936 0.064 0.250
Pb 0.350 0.650 0.750
Pb 0.650 0.350 0.250


Computed, not measured: a relaxed As3Pb5 crystal at the PBE level of DFT.

Properties
**Energy of formation from the pure elements**: 41 meV/atom
**Magnetization**: 0.0 μB per formula unit
**Density**: 8.92 Mg/m³
**Crystal system**: hexagonal
**Relative energy among the computed polymorphs**: 18 kJ/mol of formula units
**Uncorrected energy**: -64.329 eV/cell
**Density of states at the Fermi level**: 5.50 states/eV per cell
**Space group**: P6_3/mcm (193)

Cell: 9.089 9.089 6.561 Å, 90.00 90.00 120.00°
Fractional positions:
As 0.000 0.375 0.250
As 0.000 0.625 0.750
As 0.375 0.000 0.250
As 0.375 0.375 0.750
As 0.625 0.000 0.750
As 0.625 0.625 0.250
Pb 0.000 0.292 0.750
Pb 0.000 0.708 0.250
Pb 0.292 0.000 0.750
Pb 0.292 0.292 0.250
Pb 0.333 0.667 0.000
Pb 0.333 0.667 0.500
Pb 0.667 0.333 0.000
Pb 0.667 0.333 0.500
Pb 0.708 0.000 0.250
Pb 0.708 0.708 0.750


Computed, not measured: a relaxed AsPb crystal at the PBE level of DFT.

Properties
**Energy of formation from the pure elements**: 121 meV/atom
**Magnetization**: 0.0 μB per formula unit
**Density**: 6.71 Mg/m³
**Crystal system**: hexagonal
**Uncorrected energy**: -16.233 eV/cell
**Density of states at the Fermi level**: 1.07 states/eV per cell
**Space group**: P6_3mc (186)

Cell: 4.360 4.360 8.483 Å, 90.00 90.00 120.00°
Fractional positions:
As 0.333 0.667 0.000
As 0.667 0.333 0.500
Pb 0.333 0.667 0.351
Pb 0.667 0.333 0.851


Computed, not measured: a relaxed AsPb crystal at the PBE level of DFT.

Properties
**Energy of formation from the pure elements**: 134 meV/atom
**Magnetization**: 0.0 μB per formula unit
**Density**: 7.76 Mg/m³
**Crystal system**: orthorhombic
**Uncorrected energy**: -32.362 eV/cell
**Density of states at the Fermi level**: 3.32 states/eV per cell
**Space group**: Fddd (70)

Cell: 11.207 9.094 7.129 Å, 86.50 54.08 39.41°
Fractional positions:
As 0.030 0.220 0.030
As 0.220 0.030 0.220
As 0.780 0.970 0.780
As 0.970 0.780 0.970
Pb 0.266 0.266 0.484
Pb 0.484 0.484 0.266
Pb 0.516 0.516 0.734
Pb 0.734 0.734 0.516


Computed, not measured: a relaxed AsPb crystal at the PBE level of DFT.

Properties
**Energy of formation from the pure elements**: 62 meV/atom
**Magnetization**: 0.0 μB per formula unit
**Density**: 8.08 Mg/m³
**Crystal system**: hexagonal
**Uncorrected energy**: -16.469 eV/cell
**Density of states at the Fermi level**: 1.46 states/eV per cell
**Space group**: P6_3/mmc (194)

Cell: 4.905 4.905 5.566 Å, 90.00 90.00 120.00°
Fractional positions:
As 0.000 0.000 0.000
As 0.000 0.000 0.500
Pb 0.333 0.667 0.250
Pb 0.667 0.333 0.750


Computed, not measured: a relaxed As4Pb3 crystal at the PBE level of DFT.

Properties
**Energy of formation from the pure elements**: 379 meV/atom
**Magnetization**: 0.0 μB per formula unit
**Density**: 7.59 Mg/m³
**Crystal system**: hexagonal
**Uncorrected energy**: -27.068 eV/cell
**Density of states at the Fermi level**: 4.39 states/eV per cell
**Space group**: P6/mmm (191)

Cell: 7.039 7.039 4.696 Å, 90.00 90.00 120.00°
Fractional positions:
As 0.000 0.000 0.246
As 0.000 0.000 0.754
As 0.333 0.667 0.000
As 0.667 0.333 0.000
Pb 0.000 0.500 0.500
Pb 0.500 0.000 0.500
Pb 0.500 0.500 0.500


Computed, not measured: a relaxed As3Pb crystal at the PBE level of DFT.

Properties
**Energy of formation from the pure elements**: 251 meV/atom
**Magnetization**: 0.0 μB per formula unit
**Density**: 7.83 Mg/m³
**Crystal system**: orthorhombic
**Relative energy among the computed polymorphs**: 81 kJ/mol of formula units
**Uncorrected energy**: -16.651 eV/cell
**Density of states at the Fermi level**: 1.72 states/eV per cell
**Space group**: Immm (71)

Cell: 5.801 5.801 5.801 Å, 144.26 125.43 66.96°
Fractional positions:
As 0.000 0.000 0.000
As 0.208 0.708 0.500
As 0.792 0.292 0.500
Pb 0.500 0.500 0.000


Computed, not measured: a relaxed As3Pb crystal at the PBE level of DFT.

Properties
**Energy of formation from the pure elements**: 41 meV/atom
**Magnetization**: 0.0 μB per formula unit
**Density**: 6.83 Mg/m³
**Crystal system**: orthorhombic
**Relative energy among the computed polymorphs**: 0 kJ/mol of formula units
**Uncorrected energy**: -34.984 eV/cell
**Density of states at the Fermi level**: 2.21 states/eV per cell
**Space group**: Pmmn (59)

Cell: 5.548 7.967 4.751 Å, 90.00 90.00 90.00°
Fractional positions:
As 0.250 0.009 0.029
As 0.250 0.250 0.358
As 0.250 0.491 0.029
As 0.750 0.509 0.971
As 0.750 0.750 0.642
As 0.750 0.991 0.971
Pb 0.250 0.750 0.445
Pb 0.750 0.250 0.555


Computed, not measured: a relaxed AsPb7 crystal at the PBE level of DFT.

Properties
**Energy of formation from the pure elements**: 63 meV/atom
**Magnetization**: 0.0 μB per formula unit
**Density**: 10.51 Mg/m³
**Crystal system**: cubic
**Uncorrected energy**: -30.101 eV/cell
**Density of states at the Fermi level**: 5.05 states/eV per cell
**Space group**: Fm-3m (225)

Cell: 6.985 6.985 6.985 Å, 60.00 60.00 60.00°
Fractional positions:
As 0.000 0.000 0.000
Pb 0.000 0.000 0.500
Pb 0.000 0.500 0.000
Pb 0.000 0.500 0.500
Pb 0.500 0.000 0.000
Pb 0.500 0.000 0.500
Pb 0.500 0.500 0.000
Pb 0.500 0.500 0.500


Computed, not measured: a relaxed AsPb crystal at the PBE level of DFT.

Properties
**Energy of formation from the pure elements**: 44 meV/atom
**Magnetization**: 0.0 μB per formula unit
**Density**: 8.07 Mg/m³
**Crystal system**: trigonal
**Uncorrected energy**: -16.542 eV/cell
**Density of states at the Fermi level**: 1.10 states/eV per cell
**Space group**: P-3m1 (164)

Cell: 3.606 3.606 10.313 Å, 90.00 90.00 120.00°
Fractional positions:
As 0.333 0.667 0.068
As 0.667 0.333 0.932
Pb 0.333 0.667 0.628
Pb 0.667 0.333 0.372


Computed, not measured: a relaxed AsPb crystal at the PBE level of DFT.

Properties
**Energy of formation from the pure elements**: 32 meV/atom
**Magnetization**: 0.0 μB per formula unit
**Density**: 8.08 Mg/m³
**Crystal system**: orthorhombic
**Uncorrected energy**: -66.357 eV/cell
**Density of states at the Fermi level**: 1.91 states/eV per cell
**Space group**: P2_12_12_1 (19)

Cell: 6.099 7.511 10.129 Å, 90.00 90.00 90.00°
Fractional positions:
As 0.098 0.121 0.032
As 0.192 0.400 0.421
As 0.308 0.600 0.921
As 0.402 0.879 0.532
As 0.598 0.379 0.968
As 0.692 0.100 0.579
As 0.808 0.900 0.079
As 0.902 0.621 0.468
Pb 0.000 0.337 0.799
Pb 0.000 0.837 0.701
Pb 0.006 0.999 0.370
Pb 0.494 0.001 0.870
Pb 0.500 0.163 0.201
Pb 0.500 0.663 0.299
Pb 0.506 0.501 0.630
Pb 0.994 0.499 0.130


Computed, not measured: a relaxed As2Pb3 crystal at the PBE level of DFT.

Properties
**Energy of formation from the pure elements**: 16 meV/atom
**Magnetization**: 0.0 μB per formula unit
**Density**: 8.53 Mg/m³
**Crystal system**: trigonal
**Relative energy among the computed polymorphs**: 35 kJ/mol of formula units
**Uncorrected energy**: -20.344 eV/cell
**Density of states at the Fermi level**: 1.32 states/eV per cell
**Space group**: P-3m1 (164)

Cell: 5.063 5.063 6.761 Å, 90.00 90.00 120.00°
Fractional positions:
As 0.333 0.667 0.279
As 0.667 0.333 0.721
Pb 0.000 0.000 0.500
Pb 0.333 0.667 0.832
Pb 0.667 0.333 0.168


Computed, not measured: a relaxed As3Pb crystal at the PBE level of DFT.

Properties
**Energy of formation from the pure elements**: 165 meV/atom
**Magnetization**: 0.0 μB per formula unit
**Density**: 7.24 Mg/m³
**Crystal system**: monoclinic
**Relative energy among the computed polymorphs**: 48 kJ/mol of formula units
**Uncorrected energy**: -16.996 eV/cell
**Density of states at the Fermi level**: 1.68 states/eV per cell
**Space group**: P2/m (10)

Cell: 3.938 5.257 4.791 Å, 90.00 92.17 90.00°
Fractional positions:
As 0.000 0.000 0.000
As 0.245 0.500 0.829
As 0.755 0.500 0.171
Pb 0.500 0.000 0.500


Computed, not measured: a relaxed As3Pb4 crystal at the PBE level of DFT.

Properties
**Energy of formation from the pure elements**: 188 meV/atom
**Magnetization**: 0.0 μB per formula unit
**Density**: 9.37 Mg/m³
**Crystal system**: hexagonal
**Uncorrected energy**: -27.464 eV/cell
**Density of states at the Fermi level**: 4.49 states/eV per cell
**Space group**: P6/mmm (191)

Cell: 5.770 5.770 6.479 Å, 90.00 90.00 120.00°
Fractional positions:
As 0.000 0.500 0.000
As 0.500 0.000 0.000
As 0.500 0.500 0.000
Pb 0.000 0.000 0.254
Pb 0.000 0.000 0.746
Pb 0.333 0.667 0.500
Pb 0.667 0.333 0.500


Computed, not measured: a relaxed As3Pb crystal at the PBE level of DFT.

Properties
**Energy of formation from the pure elements**: 421 meV/atom
**Magnetization**: 0.0 μB per formula unit
**Density**: 7.97 Mg/m³
**Crystal system**: trigonal
**Relative energy among the computed polymorphs**: 147 kJ/mol of formula units
**Uncorrected energy**: -15.973 eV/cell
**Density of states at the Fermi level**: 3.32 states/eV per cell
**Space group**: R-3m (166)

Cell: 5.800 5.800 5.800 Å, 116.70 116.70 116.70°
Fractional positions:
As 0.000 0.500 0.500
As 0.500 0.000 0.500
As 0.500 0.500 0.000
Pb 0.000 0.000 0.000


Computed, not measured: a relaxed As3Pb4 crystal at the PBE level of DFT.

Properties
**Energy of formation from the pure elements**: 106 meV/atom
**Magnetization**: 0.0 μB per formula unit
**Density**: 8.20 Mg/m³
**Crystal system**: tetragonal
**Uncorrected energy**: -28.043 eV/cell
**Density of states at the Fermi level**: 3.27 states/eV per cell
**Space group**: I4/mmm (139)

Cell: 12.996 12.996 12.996 Å, 161.83 161.83 25.81°
Fractional positions:
As 0.000 0.000 0.000
As 0.322 0.322 0.000
As 0.678 0.678 0.000
Pb 0.202 0.202 0.000
Pb 0.438 0.438 0.000
Pb 0.562 0.562 0.000
Pb 0.798 0.798 0.000


Computed, not measured: a relaxed AsPb crystal at the PBE level of DFT.

Properties
**Energy of formation from the pure elements**: 228 meV/atom
**Magnetization**: 0.0 μB per formula unit
**Density**: 9.01 Mg/m³
**Crystal system**: tetragonal
**Uncorrected energy**: -15.802 eV/cell
**Density of states at the Fermi level**: 2.94 states/eV per cell
**Space group**: I4_1/amd (141)

Cell: 6.264 6.264 6.264 Å, 139.17 139.17 59.11°
Fractional positions:
As 0.375 0.625 0.750
As 0.625 0.375 0.250
Pb 0.125 0.875 0.250
Pb 0.875 0.125 0.750


Computed, not measured: a relaxed AsPb crystal at the PBE level of DFT.

Properties
**Energy of formation from the pure elements**: 308 meV/atom
**Magnetization**: 0.0 μB per formula unit
**Density**: 9.13 Mg/m³
**Crystal system**: hexagonal
**Uncorrected energy**: -7.742 eV/cell
**Density of states at the Fermi level**: 1.39 states/eV per cell
**Space group**: P-6m2 (187)

Cell: 3.303 3.303 5.433 Å, 90.00 90.00 120.00°
Fractional positions:
As 0.000 0.000 0.000
Pb 0.667 0.333 0.500


Computed, not measured: a relaxed As2Pd8Pb crystal at the PBE level of DFT.

Properties
**Energy of formation from the pure elements**: -309 meV/atom
**Magnetization**: 0.0 μB per formula unit
**Density**: 10.79 Mg/m³
**Crystal system**: monoclinic
**Relative energy among the computed polymorphs**: 25 kJ/mol of formula units
**Uncorrected energy**: -57.944 eV/cell
**Density of states at the Fermi level**: 4.44 states/eV per cell
**Space group**: C2/m (12)

Cell: 6.758 6.758 4.569 Å, 99.12 99.12 111.73°
Fractional positions:
As 0.178 0.822 0.000
As 0.822 0.178 0.000
Pd 0.117 0.117 0.322
Pd 0.175 0.432 0.905
Pd 0.255 0.745 0.500
Pd 0.432 0.175 0.905
Pd 0.568 0.825 0.095
Pd 0.745 0.255 0.500
Pd 0.825 0.568 0.095
Pd 0.883 0.883 0.678
Pb 0.500 0.500 0.500


Computed, not measured: a relaxed As2Pd8Pb crystal at the PBE level of DFT.

Properties
**Energy of formation from the pure elements**: -332 meV/atom
**Magnetization**: 0.0 μB per formula unit
**Density**: 11.02 Mg/m³
**Crystal system**: triclinic
**Relative energy among the computed polymorphs**: 0 kJ/mol of formula units
**Uncorrected energy**: -58.204 eV/cell
**Density of states at the Fermi level**: 3.68 states/eV per cell
**Space group**: P-1 (2)

Cell: 4.882 5.744 7.435 Å, 108.69 107.00 98.38°
Fractional positions:
As 0.222 0.126 0.317
As 0.778 0.874 0.683
Pd 0.125 0.643 0.238
Pd 0.210 0.873 0.957
Pd 0.290 0.032 0.639
Pd 0.309 0.533 0.610
Pd 0.691 0.467 0.390
Pd 0.710 0.968 0.361
Pd 0.790 0.127 0.043
Pd 0.875 0.357 0.762
Pb 0.500 0.500 0.000


Computed, not measured: a relaxed As6Pd12Pb crystal at the PBE level of DFT.

Properties
**Energy of formation from the pure elements**: -268 meV/atom
**Magnetization**: 0.0 μB per formula unit
**Density**: 9.50 Mg/m³
**Crystal system**: trigonal
**Uncorrected energy**: -99.014 eV/cell
**Density of states at the Fermi level**: 5.72 states/eV per cell
**Space group**: R-3m (166)

Cell: 7.412 7.412 7.412 Å, 107.11 107.11 107.11°
Fractional positions:
As 0.259 0.259 0.688
As 0.259 0.688 0.259
As 0.312 0.741 0.741
As 0.688 0.259 0.259
As 0.741 0.312 0.741
As 0.741 0.741 0.312
Pd 0.123 0.500 0.877
Pd 0.123 0.877 0.500
Pd 0.161 0.406 0.406
Pd 0.406 0.161 0.406
Pd 0.406 0.406 0.161
Pd 0.500 0.123 0.877
Pd 0.500 0.877 0.123
Pd 0.594 0.594 0.839
Pd 0.594 0.839 0.594
Pd 0.839 0.594 0.594
Pd 0.877 0.123 0.500
Pd 0.877 0.500 0.123
Pb 0.000 0.000 0.000